## one
This record from the Alexandria database describes NdGd2Zr after structural relaxation. The functional is GGA-PBE.

Lattice parameters (Å, degrees): 5.5683 5.5683 5.5683 60.00 60.00 60.00
Each line ends with the local moment (μB).
Sites, in units of the cell vectors:
Gd  0.2500  0.2500  0.2500  7.35
Gd  0.7500  0.7500  0.7500  7.35
Nd  0.0000  0.0000  0.0000  0.14
Zr  0.5000  0.5000  0.5000  0.77

Values from the calculation:
Density   7.48 g/cm³
Total magnetic moment   17.0 Bohr magnetons per cell
SG   No. 225

***

## two
This record from the Alexandria database describes NdGd2Zr after structural relaxation. The functional is GGA-PBE.

Lattice parameters (Å, degrees): 3.3978 3.3978 12.3104 82.07 82.07 60.00
Each line ends with the local moment (μB).
Sites, in units of the cell vectors:
Gd  0.0847  0.0847  0.7458  7.25
Gd  0.9153  0.9153  0.2542  7.25
Nd  0.5000  0.5000  0.5000  -0.11
Zr  0.0000  0.0000  0.0000  0.10

Values from the calculation:
Density   7.52 g/cm³
Total magnetic moment   14.9 Bohr magnetons per cell
SG   No. 166

***

Which is the most stable structure? one is the most stable.

***

## one
This record from the Alexandria database describes PrGd2Ni after structural relaxation. The functional is GGA-PBE.

Lattice parameters (Å, degrees): 3.4884 3.4884 8.9450 90.00 90.00 90.00
Each line ends with the local moment (μB).
Sites, in units of the cell vectors:
Pr  0.5000  0.5000  0.5000  -0.03
Ni  0.5000  0.5000  0.0000  -0.01
Gd  0.0000  0.0000  0.8194  7.02
Gd  0.0000  0.0000  0.1806  7.02

Values from the calculation:
Density   7.84 g/cm³
Total magnetic moment   14.2 Bohr magnetons per cell
SG   No. 123

***

## two
This record from the Alexandria database describes PrGd2Ni after structural relaxation. The functional is GGA-PBE.

Lattice parameters (Å, degrees): 3.7805 3.7805 9.7049 78.77 78.77 60.00
Each line ends with the local moment (μB).
Sites, in units of the cell vectors:
Pr  0.5000  0.5000  0.5000  -0.02
Ni  0.0000  0.0000  0.0000  -0.04
Gd  0.7252  0.7252  0.8245  7.09
Gd  0.2748  0.2748  0.1755  7.09

Values from the calculation:
Density   7.29 g/cm³
Total magnetic moment   14.6 Bohr magnetons per cell
SG   No. 166

***

Which is the most stable structure? one is the most stable.

***

## one
This record from the Alexandria database describes Pr2GdNi after structural relaxation. The functional is GGA-PBE.

Lattice parameters (Å, degrees): 3.7183 3.7183 10.7841 80.07 80.07 60.00
Each line ends with the local moment (μB).
Sites, in units of the cell vectors:
Pr  0.1104  0.1104  0.6687  0.03
Pr  0.8896  0.8896  0.3313  0.03
Ni  0.5000  0.5000  0.5000  0.02
Gd  0.0000  0.0000  0.0000  7.38

Values from the calculation:
Density   6.53 g/cm³
Total magnetic moment   8.1 Bohr magnetons per cell
SG   No. 166

***

## two
This record from the Alexandria database describes Pr2GdNi after structural relaxation. The functional is GGA-PBE.

Lattice parameters (Å, degrees): 3.5942 3.5942 8.7823 90.00 90.00 90.00
Each line ends with the local moment (μB).
Sites, in units of the cell vectors:
Pr  0.0000  0.0000  0.8084  -0.07
Pr  0.0000  0.0000  0.1916  -0.07
Ni  0.5000  0.5000  0.0000  -0.14
Gd  0.5000  0.5000  0.5000  -7.41

Values from the calculation:
Density   7.29 g/cm³
Total magnetic moment   8.4 Bohr magnetons per cell
SG   No. 123

***

Which is the most stable structure? two is the most stable.

***

## one
This record from the Alexandria database describes PrGdNi after structural relaxation. The functional is GGA-PBE.

Lattice parameters (Å, degrees): 4.8628 4.8628 4.8628 60.00 60.00 60.00
Each line ends with the local moment (μB).
Sites, in units of the cell vectors:
Pr  0.5000  0.5000  0.5000  0.07
Ni  0.2500  0.2500  0.2500  -0.09
Gd  0.0000  0.0000  0.0000  7.08

Values from the calculation:
Density   7.29 g/cm³
Total magnetic moment   7.3 Bohr magnetons per cell
SG   No. 216

***

## two
This record from the Alexandria database describes PrGdNi after structural relaxation. The functional is GGA-PBE.

Lattice parameters (Å, degrees): 3.9480 3.9480 6.4260 90.00 90.00 120.00
Each line ends with the local moment (μB).
Sites, in units of the cell vectors:
Pr  0.0000  0.0000  0.9161  0.04
Ni  0.3333  0.6667  0.6602  -0.02
Gd  0.6667  0.3333  0.4236  7.09

Values from the calculation:
Density   6.83 g/cm³
Total magnetic moment   7.4 Bohr magnetons per cell
SG   No. 156

***

Which is the most stable structure? two is the most stable.

***

## one
This record from the Alexandria database describes GdPuNi2 after structural relaxation. The functional is GGA-PBE.

Lattice parameters (Å, degrees): 4.7879 4.7879 4.7879 60.00 60.00 60.00
Each line ends with the local moment (μB).
Sites, in units of the cell vectors:
Ni  0.2500  0.2500  0.2500  -0.05
Ni  0.7500  0.7500  0.7500  -0.05
Gd  0.5000  0.5000  0.5000  7.13
Pu  0.0000  0.0000  0.0000  5.20

Values from the calculation:
Density   11.10 g/cm³
Total magnetic moment   12.7 Bohr magnetons per cell
SG   No. 225

***

## two
This record from the Alexandria database describes GdPuNi2 after structural relaxation. The functional is GGA-PBE.

Lattice parameters (Å, degrees): 3.3135 4.8244 4.8244 90.00 90.00 90.00
Each line ends with the local moment (μB).
Sites, in units of the cell vectors:
Ni  0.0000  0.0000  0.5000  -0.03
Ni  0.0000  0.5000  0.0000  -0.03
Gd  0.5000  0.0000  0.0000  7.05
Pu  0.5000  0.5000  0.5000  5.17

Values from the calculation:
Density   11.17 g/cm³
Total magnetic moment   12.6 Bohr magnetons per cell
SG   No. 123

***

Which is the most stable structure? two is the most stable.

***

## one
This record from the Alexandria database describes GdNiRh after structural relaxation. The functional is GGA-PBE.

Lattice parameters (Å, degrees): 3.8317 4.1377 4.1377 120.00 90.00 90.00
Each line ends with the local moment (μB).
Sites, in units of the cell vectors:
Ni  0.1666  0.3333  0.6667  -0.05
Gd  0.6667  0.6667  0.3333  6.97
Rh  0.1667  0.0000  0.0000  -0.07

Values from the calculation:
Density   9.32 g/cm³
Total magnetic moment   6.9 Bohr magnetons per cell
SG   No. 187

***

## two
This record from the Alexandria database describes GdNiRh after structural relaxation. The functional is GGA-PBE.

Lattice parameters (Å, degrees): 3.4011 3.4011 5.2164 109.03 109.03 90.00
Each line ends with the local moment (μB).
Sites, in units of the cell vectors:
Ni  0.6497  0.6497  0.2995  0.00
Gd  0.9489  0.9489  0.8978  -7.03
Rh  0.2513  0.2513  0.5027  0.03

Values from the calculation:
Density   9.89 g/cm³
Total magnetic moment   7.1 Bohr magnetons per cell
SG   No. 107

***

Which is the most stable structure? one is the most stable.

***

## one
This record from the Alexandria database describes GdScNi2 after structural relaxation. The functional is GGA-PBE.

Lattice parameters (Å, degrees): 3.2639 3.2639 6.6829 90.00 90.00 90.00
Each line ends with the local moment (μB).
Sites, in units of the cell vectors:
Sc  0.5000  0.5000  0.0000  0.02
Ni  0.0000  0.0000  0.7810  0.02
Ni  0.0000  0.0000  0.2190  0.02
Gd  0.5000  0.5000  0.5000  7.03

Values from the calculation:
Density   7.45 g/cm³
Total magnetic moment   7.2 Bohr magnetons per cell
SG   No. 123

***

## two
This record from the Alexandria database describes GdScNi2 after structural relaxation. The functional is GGA-PBE.

Lattice parameters (Å, degrees): 4.6647 4.6647 4.6647 60.00 60.00 60.00
Each line ends with the local moment (μB).
Sites, in units of the cell vectors:
Sc  0.5000  0.5000  0.5000  0.02
Ni  0.2500  0.2500  0.2500  0.05
Ni  0.7500  0.7500  0.7500  0.05
Gd  0.0000  0.0000  0.0000  7.02

Values from the calculation:
Density   7.39 g/cm³
Total magnetic moment   7.3 Bohr magnetons per cell
SG   No. 225

***

Which is the most stable structure? one is the most stable.